No. 1
Compound: AlSiSe
Source: Alexandria
Functional: PBE
Structure: relaxed

Unit cell a=4.276 b=12.902 c=5.754 alpha=90.00 beta=113.26 gamma=90.00
Sites, in units of the cell vectors:
Si 0.483 0.907 0.434
Si 0.483 0.093 0.434
Si 0.483 0.407 0.934
Si 0.483 0.593 0.934
Al 0.073 0.337 0.098
Al 0.073 0.663 0.098
Al 0.073 0.837 0.598
Al 0.073 0.163 0.598
Se 0.056 0.146 0.030
Se 0.056 0.854 0.030
Se 0.056 0.646 0.530
Se 0.056 0.354 0.530

Results
As for the uncorrected formation energy: -231 meV/atom. The symmetry is No. 8.

=====

No. 2
Compound: NdNbRu2
Source: Alexandria
Functional: PBE
Structure: relaxed

Unit cell a=3.292 b=4.753 c=4.753 alpha=90.00 beta=90.00 gamma=90.00
Sites, in units of the cell vectors:
Ru 0.000 0.000 0.500
Ru 0.000 0.500 0.000
Nb 0.500 0.000 0.000
Nd 0.500 0.500 0.500

Results
For the energy relative to the elements, the calculation gives 7.8 meV/atom. The symmetry is No. 123.

=====

No. 3
Compound: Pr2Nd2Mg3
Source: Alexandria
Functional: PBE
Structure: relaxed

Unit cell a=3.862 b=3.862 c=14.641 alpha=97.57 beta=82.43 gamma=90.00
Sites, in units of the cell vectors:
Pr 0.569 0.432 0.864
Pr 0.431 0.568 0.136
Nd 0.707 0.294 0.586
Nd 0.293 0.706 0.414
Mg 0.862 0.137 0.276
Mg 0.000 0.000 0.000
Mg 0.138 0.863 0.724

Results
For the energy relative to the elements, the calculation gives -90.1 meV/atom. The symmetry is No. 12.

=====

No. 4
Compound: UMnMo
Source: Alexandria
Functional: PBE
Structure: relaxed

Unit cell a=2.824 b=4.372 c=4.372 alpha=120.00 beta=90.00 gamma=90.00
Sites, in units of the cell vectors:
Mo 0.254 0.333 0.667
Mn 0.748 0.667 0.333
U 0.998 0.000 0.000

Results
For the energy relative to the elements, the calculation gives 241.4 meV/atom. The symmetry is No. 156. The energy above the lowest structure with this stoichiometry is 0.0691 eV/atom.

=====

No. 5
Compound: Na3Pu2TiS6
Source: Alexandria
Functional: PBE
Structure: relaxed

Unit cell a=6.725 b=6.725 c=7.029 alpha=99.21 beta=99.21 gamma=120.04
Sites, in units of the cell vectors:
Na 0.168 0.832 0.500
Na 0.832 0.168 0.500
Na 0.500 0.500 0.500
Pu 0.333 0.667 0.000
Pu 0.667 0.333 0.000
Ti 0.000 0.000 0.000
S 0.926 0.614 0.778
S 0.762 0.762 0.219
S 0.074 0.386 0.222
S 0.614 0.926 0.778
S 0.238 0.238 0.781
S 0.386 0.074 0.222

Results
As for the uncorrected formation energy: -1469 meV/atom. The symmetry is No. 12.

=====

No. 6
Compound: Na2Zn3In4
Source: Alexandria
Functional: PBE
Structure: relaxed

Unit cell a=5.693 b=5.564 c=8.121 alpha=79.67 beta=69.48 gamma=59.23
Sites, in units of the cell vectors:
Na 0.615 0.000 0.769
Na 0.385 0.000 0.231
Zn 0.000 0.500 0.000
Zn 0.000 0.000 0.000
Zn 0.500 0.500 0.000
In 0.999 0.671 0.331
In 0.670 0.329 0.331
In 0.001 0.329 0.669
In 0.330 0.671 0.669

Results
For the energy relative to the elements, the calculation gives -40.7 meV/atom. The symmetry is No. 69. The energy above the lowest structure with this stoichiometry is 0.0000 eV/atom.

=====

No. 7
Compound: Ti5CoPd2
Source: Alexandria
Functional: PBE
Structure: relaxed

Unit cell a=6.233 b=6.233 c=5.413 alpha=125.19 beta=125.19 gamma=89.96
Sites, in units of the cell vectors:
Ti 0.722 0.222 0.944
Ti 0.222 0.222 0.944
Ti 0.722 0.722 0.944
Ti 0.222 0.722 0.944
Ti 0.722 0.722 0.445
Co 0.222 0.222 0.444
Pd 0.222 0.722 0.444
Pd 0.722 0.222 0.444

Results
For the energy relative to the elements, the calculation gives -317.5 meV/atom. The symmetry is No. 139.

=====

No. 8
Compound: PdPbSe2
Source: Alexandria
Functional: PBE
Structure: relaxed

Unit cell a=3.915 b=3.915 c=7.406 alpha=74.67 beta=74.67 gamma=60.00
Sites, in units of the cell vectors:
Pd 0.666 0.666 0.001
Pb 0.501 0.501 0.498
Se 0.063 0.063 0.811
Se 0.270 0.270 0.189

Results
As for the uncorrected formation energy: -290 meV/atom. The symmetry is No. 160.

=====

No. 9
Compound: La2TbPrTm5
Source: Alexandria
Functional: PBE
Structure: relaxed

Unit cell a=8.610 b=8.610 c=9.953 alpha=115.63 beta=115.63 gamma=90.00
Sites, in units of the cell vectors:
La 0.118 0.382 0.000
La 0.618 0.118 0.000
La 0.382 0.882 0.000
La 0.882 0.618 0.000
Tb 0.250 0.250 0.500
Tb 0.750 0.750 0.500
Pr 0.250 0.750 0.500
Pr 0.750 0.250 0.500
Tm 0.927 0.427 0.282
Tm 0.645 0.145 0.718
Tm 0.073 0.573 0.718
Tm 0.145 0.073 0.718
Tm 0.573 0.645 0.718
Tm 0.855 0.927 0.282
Tm 0.427 0.355 0.282
Tm 0.355 0.855 0.282
Tm 0.500 0.500 0.000
Tm 0.000 0.000 0.000

Results
For the energy relative to the elements, the calculation gives 250.8 meV/atom. The symmetry is No. 140.

=====

No. 10
Compound: K2HoNp3O12
Source: Alexandria
Functional: PBE
Structure: relaxed

Unit cell a=7.767 b=7.767 c=7.767 alpha=62.02 beta=62.02 gamma=62.02
Sites, in units of the cell vectors:
K 0.666 0.666 0.666
K 0.334 0.334 0.334
Ho 0.000 0.000 0.000
Np 0.500 0.000 0.000
Np 0.000 0.500 0.000
Np 0.000 0.000 0.500
O 0.310 0.310 0.939
O 0.928 0.928 0.339
O 0.339 0.928 0.928
O 0.939 0.310 0.310
O 0.928 0.339 0.928
O 0.310 0.939 0.310
O 0.690 0.690 0.061
O 0.072 0.072 0.661
O 0.661 0.072 0.072
O 0.061 0.690 0.690
O 0.072 0.661 0.072
O 0.690 0.061 0.690

Results
As for the uncorrected formation energy: -2727 meV/atom. The symmetry is No. 166.

=====

No. 11
Compound: Na2Li2Sn
Source: Alexandria
Functional: PBE
Structure: relaxed

Unit cell a=8.440 b=8.440 c=3.449 alpha=90.00 beta=90.00 gamma=90.00
Sites, in units of the cell vectors:
Na 0.367 0.867 0.000
Na 0.867 0.633 0.000
Na 0.633 0.133 0.000
Na 0.133 0.367 0.000
Sn 0.000 0.000 0.000
Sn 0.500 0.500 0.000
Li 0.172 0.672 0.500
Li 0.672 0.828 0.500
Li 0.828 0.328 0.500
Li 0.328 0.172 0.500

Results
For the energy relative to the elements, the calculation gives 19.3 meV/atom. The symmetry is No. 127. The energy above the lowest structure with this stoichiometry is 0.2049 eV/atom.

=====

No. 12
Compound: CuNi2H2
Source: Alexandria
Functional: PBE
Structure: relaxed

Unit cell a=2.789 b=2.789 c=5.418 alpha=75.09 beta=75.09 gamma=90.00
Sites, in units of the cell vectors:
Ni 0.346 0.346 0.308
Ni 0.654 0.654 0.692
Cu 0.000 0.000 0.000
H 0.750 0.250 0.500
H 0.250 0.750 0.500

Results
The symmetry is No. 139. The energy above the lowest structure with this stoichiometry is 0.0000 eV/atom.

=====

Number 1: calculated volume 291.65 Å³ per cell. Number 2: calculated volume 74.35 Å³ per cell. Number 3: calculated volume 214.51 Å³ per cell. Number 4: calculated volume 46.76 Å³ per cell. Number 5: calculated volume 260.67 Å³ per cell. Number 6: calculated volume 207.00 Å³ per cell. Number 7: calculated volume 121.96 Å³ per cell. Number 8: calculated volume 93.63 Å³ per cell. Number 9: calculated volume 583.70 Å³ per cell. Number 10: calculated volume 346.20 Å³ per cell. Number 11: calculated volume 245.68 Å³ per cell. Number 12: calculated volume 39.25 Å³ per cell.